Entry 1:
# AlNiW

A geometry-optimized AlNiW structure (PBE, the Open Quantum Materials Database).

Cell: 5.6736 5.6736 5.6736 Å, 90.00 90.00 90.00°
Last column: nearest neighbours and their distance in Å.
Fractional positions:
Al 0.0000 0.0000 0.0000  4 Ni 2.46
Al 0.0000 0.5000 0.5000  4 Ni 2.46
Al 0.5000 0.0000 0.5000  4 Ni 2.46
Al 0.5000 0.5000 0.0000  4 Ni 2.46
Ni 0.2500 0.2500 0.2500  4 W 2.46, 4 Al 2.46
Ni 0.2500 0.7500 0.7500  4 W 2.46, 4 Al 2.46
Ni 0.7500 0.2500 0.7500  4 W 2.46, 4 Al 2.46
Ni 0.7500 0.7500 0.2500  4 W 2.46, 4 Al 2.46
W 0.0000 0.0000 0.5000  4 Ni 2.46
W 0.0000 0.5000 0.0000  4 Ni 2.46
W 0.5000 0.0000 0.0000  4 Ni 2.46
W 0.5000 0.5000 0.5000  4 Ni 2.46

Output
Its space-group type is F-43m, No. 216. As for the offset from the most stable computed form: 0.00 kJ/mol of atoms.



Entry 2:
# AlTlNiSe3

A geometry-optimized AlTlNiSe3 structure (PBE, the Open Quantum Materials Database).

Cell: 7.1809 7.1809 10.5561 Å, 90.00 90.00 150.19°
Last column: nearest neighbours and their distance in Å.
Fractional positions:
Al 0.0000 0.0000 0.0000  6 Se 2.55-2.64
Al 0.0000 0.0000 0.5000  6 Se 2.55-2.64
Tl 0.2642 0.7358 0.7500  2 Ni 2.97, 2 Se 3.32
Tl 0.7358 0.2642 0.2500  2 Ni 2.97, 2 Se 3.32
Ni 0.4035 0.5965 0.2500  4 Se 2.36-2.37
Ni 0.5965 0.4035 0.7500  4 Se 2.36-2.37
Se 0.0097 0.9903 0.2500  2 Ni 2.36, 2 Al 2.64
Se 0.3756 0.6244 0.0281  1 Ni 2.37, 2 Al 2.55
Se 0.3756 0.6244 0.4719  1 Ni 2.37, 2 Al 2.55
Se 0.6244 0.3756 0.5281  1 Ni 2.37, 2 Al 2.55
Se 0.6244 0.3756 0.9719  1 Ni 2.37, 2 Al 2.55
Se 0.9903 0.0097 0.7500  2 Ni 2.36, 2 Al 2.64

Output
The value obtained for the electronic total energy is -49.92 eV for the cell shown. Its space-group type is Cmcm, No. 63.



Entry 3:
# MoN

A geometry-optimized MoN structure (PBE, the Open Quantum Materials Database).

Cell: 2.8917 2.8917 3.8142 Å, 90.00 90.00 120.00°
Last column: nearest neighbours and their distance in Å.
Fractional positions:
Mo 0.0000 0.0000 0.0000  2 N 1.91
N 0.0000 0.0000 0.5000  2 Mo 1.91

Output
The value obtained for the electronic total energy is -17.37 eV for the cell shown. Its space-group type is P6/mmm, No. 191.



Entry 4:
# Hf2Sc4As3C3

A geometry-optimized Hf2Sc4As3C3 structure (PBE, the Open Quantum Materials Database).

Cell: 5.9147 5.9147 13.2518 Å, 102.94 102.94 60.08°
Last column: nearest neighbours and their distance in Å.
Fractional positions:
Hf 0.0314 0.8617 0.5944  3 C 2.27-2.30
Hf 0.1383 0.9686 0.9056  3 C 2.27-2.30
Hf 0.8617 0.0314 0.0944  3 C 2.27-2.30
Hf 0.9686 0.1383 0.4056  3 C 2.27-2.30
Sc 0.1988 0.3690 0.0984  3 C 2.34-2.38
Sc 0.3030 0.4649 0.4017  3 C 2.35-2.39
Sc 0.3690 0.1988 0.5984  3 C 2.34-2.38
Sc 0.4649 0.3030 0.9017  3 C 2.35-2.39
Sc 0.5351 0.6970 0.0983  3 C 2.35-2.39
Sc 0.6310 0.8012 0.4016  3 C 2.34-2.38
Sc 0.6970 0.5351 0.5983  3 C 2.35-2.39
Sc 0.8012 0.6310 0.9016  3 C 2.34-2.38
As 0.0830 0.2489 0.7496  4 Sc 2.77-2.78, 2 Hf 2.80-2.81
As 0.2489 0.0830 0.2496  4 Sc 2.77-2.78, 2 Hf 2.80-2.81
As 0.4160 0.5840 0.7500  4 Sc 2.76, 2 Hf 2.80
As 0.5840 0.4160 0.2500  4 Sc 2.76, 2 Hf 2.80
As 0.7511 0.9170 0.7504  4 Sc 2.77-2.78, 2 Hf 2.80-2.81
As 0.9170 0.7511 0.2504  4 Sc 2.77-2.78, 2 Hf 2.80-2.81
C 0.0000 0.5000 0.5000  2 Hf 2.30, 4 Sc 2.35
C 0.1592 0.6817 0.0000  2 Hf 2.27, 4 Sc 2.34-2.39
C 0.3183 0.8408 0.5000  2 Hf 2.27, 4 Sc 2.34-2.39
C 0.5000 0.0000 0.0000  2 Hf 2.30, 4 Sc 2.35
C 0.6817 0.1592 0.5000  2 Hf 2.27, 4 Sc 2.34-2.39
C 0.8408 0.3183 0.0000  2 Hf 2.27, 4 Sc 2.34-2.39

Output
The value obtained for the electronic total energy is -195.39 eV for the cell shown. Its space-group type is C2/c, No. 15.



Entry 5:
# Si2Au

A geometry-optimized Si2Au structure (PBE, the Open Quantum Materials Database).

Cell: 2.9472 2.9472 11.2470 Å, 90.00 90.00 90.00°
Last column: nearest neighbours and their distance in Å.
Fractional positions:
Si 0.0000 0.0000 0.1712  8 Si 2.74-2.95, 4 Au 2.84
Si 0.0000 0.0000 0.8288  8 Si 2.74-2.95, 4 Au 2.84
Si 0.5000 0.5000 0.3288  8 Si 2.74-2.95, 4 Au 2.84
Si 0.5000 0.5000 0.6712  8 Si 2.74-2.95, 4 Au 2.84
Au 0.0000 0.0000 0.5000  8 Si 2.84, 4 Au 2.95
Au 0.5000 0.5000 0.0000  8 Si 2.84, 4 Au 2.95

Output
Its space-group type is I4/mmm, No. 139. As for the offset from the most stable computed form: 10.78 kJ/mol of atoms.



Entry 6:
# HoAuSO

A geometry-optimized HoAuSO structure (PBE, the Open Quantum Materials Database).

Cell: 9.2448 5.3802 5.5644 Å, 90.00 90.00 90.00°
Last column: nearest neighbours and their distance in Å.
Fractional positions:
Ho 0.1204 0.0059 0.2500  4 O 2.22-2.24
Ho 0.1204 0.4941 0.7500  4 O 2.22-2.24
Ho 0.8796 0.5059 0.2500  4 O 2.22-2.24
Ho 0.8796 0.9941 0.7500  4 O 2.22-2.24
Au 0.4398 0.2500 0.0000  2 S 2.50, 2 Au 2.78
Au 0.4398 0.2500 0.5000  2 S 2.50, 2 Au 2.78
Au 0.5602 0.7500 0.0000  2 S 2.50, 2 Au 2.78
Au 0.5602 0.7500 0.5000  2 S 2.50, 2 Au 2.78
S 0.2829 0.5270 0.2500  2 Au 2.50
S 0.2829 0.9730 0.7500  2 Au 2.50
S 0.7171 0.0270 0.2500  2 Au 2.50
S 0.7171 0.4730 0.7500  2 Au 2.50
O 0.0023 0.7500 0.0000  4 Ho 2.22-2.24
O 0.0023 0.7500 0.5000  4 Ho 2.22-2.24
O 0.9977 0.2500 0.0000  4 Ho 2.22-2.24
O 0.9977 0.2500 0.5000  4 Ho 2.22-2.24

Output
Its space-group type is Pbcm, No. 57. As for the offset from the most stable computed form: 14.61 kJ/mol of atoms.



Entry 7:
# Sm5ErIn3

A geometry-optimized Sm5ErIn3 structure (PBE, the Open Quantum Materials Database).

Cell: 9.4755 9.4755 6.8221 Å, 90.00 90.00 120.00°
Last column: nearest neighbours and their distance in Å.
Fractional positions:
Sm 0.0000 0.3363 0.2500  5 In 3.15-3.41
Sm 0.0000 0.6637 0.7500  5 In 3.15-3.41
Sm 0.3333 0.6667 0.0000  8 Sm 3.41-3.58, 6 In 3.61
Sm 0.3333 0.6667 0.5000  8 Sm 3.41-3.58, 6 In 3.61
Sm 0.3363 0.0000 0.2500  5 In 3.15-3.41
Sm 0.3363 0.3363 0.7500  5 In 3.15-3.41
Sm 0.6637 0.0000 0.7500  5 In 3.15-3.41
Sm 0.6637 0.6637 0.2500  5 In 3.15-3.41
Sm 0.6667 0.3333 0.0000  8 Sm 3.41-3.58, 6 In 3.61
Sm 0.6667 0.3333 0.5000  8 Sm 3.41-3.58, 6 In 3.61
Er 0.0000 0.0000 0.0000  2 Er 3.41, 6 In 3.54, 6 Sm 3.61
Er 0.0000 0.0000 0.5000  2 Er 3.41, 6 In 3.54, 6 Sm 3.61
In 0.0000 0.3274 0.7500  5 Sm 3.15-3.41
In 0.0000 0.6726 0.2500  5 Sm 3.15-3.41
In 0.3274 0.0000 0.7500  5 Sm 3.15-3.41
In 0.3274 0.3274 0.2500  5 Sm 3.15-3.41
In 0.6726 0.0000 0.2500  5 Sm 3.15-3.41
In 0.6726 0.6726 0.7500  5 Sm 3.15-3.41

Output
The value obtained for the electronic total energy is -78.99 eV for the cell shown. Its space-group type is P6_3/mcm, No. 193.



Entry 8:
# ZrAlFeRe

A geometry-optimized ZrAlFeRe structure (PBE, the Open Quantum Materials Database).

Cell: 6.2677 6.2677 6.2677 Å, 90.00 90.00 90.00°
Last column: nearest neighbours and their distance in Å.
Fractional positions:
Zr 0.0000 0.0000 0.0000  4 Fe 2.71, 4 Re 2.71
Zr 0.0000 0.5000 0.5000  4 Fe 2.71, 4 Re 2.71
Zr 0.5000 0.0000 0.5000  4 Fe 2.71, 4 Re 2.71
Zr 0.5000 0.5000 0.0000  4 Fe 2.71, 4 Re 2.71
Al 0.0000 0.0000 0.5000  4 Fe 2.71, 4 Re 2.71
Al 0.0000 0.5000 0.0000  4 Fe 2.71, 4 Re 2.71
Al 0.5000 0.0000 0.0000  4 Fe 2.71, 4 Re 2.71
Al 0.5000 0.5000 0.5000  4 Fe 2.71, 4 Re 2.71
Fe 0.2500 0.2500 0.7500  4 Zr 2.71, 4 Al 2.71
Fe 0.2500 0.7500 0.2500  4 Zr 2.71, 4 Al 2.71
Fe 0.7500 0.2500 0.2500  4 Zr 2.71, 4 Al 2.71
Fe 0.7500 0.7500 0.7500  4 Zr 2.71, 4 Al 2.71
Re 0.2500 0.2500 0.2500  4 Zr 2.71, 4 Al 2.71
Re 0.2500 0.7500 0.7500  4 Zr 2.71, 4 Al 2.71
Re 0.7500 0.2500 0.7500  4 Zr 2.71, 4 Al 2.71
Re 0.7500 0.7500 0.2500  4 Zr 2.71, 4 Al 2.71

Output
Its space-group type is F-43m, No. 216. As for the offset from the most stable computed form: 0.00 kJ/mol of atoms.



Entry 9:
# HfZnFeW

A geometry-optimized HfZnFeW structure (PBE, the Open Quantum Materials Database).

Cell: 6.2987 6.2987 6.2987 Å, 90.00 90.00 90.00°
Last column: nearest neighbours and their distance in Å.
Fractional positions:
Hf 0.0000 0.0000 0.0000  4 W 2.73, 4 Zn 2.73
Hf 0.0000 0.5000 0.5000  4 W 2.73, 4 Zn 2.73
Hf 0.5000 0.0000 0.5000  4 W 2.73, 4 Zn 2.73
Hf 0.5000 0.5000 0.0000  4 W 2.73, 4 Zn 2.73
Zn 0.2500 0.2500 0.2500  4 Hf 2.73, 4 Fe 2.73
Zn 0.2500 0.7500 0.7500  4 Hf 2.73, 4 Fe 2.73
Zn 0.7500 0.2500 0.7500  4 Hf 2.73, 4 Fe 2.73
Zn 0.7500 0.7500 0.2500  4 Hf 2.73, 4 Fe 2.73
Fe 0.0000 0.0000 0.5000  4 W 2.73, 4 Zn 2.73
Fe 0.0000 0.5000 0.0000  4 W 2.73, 4 Zn 2.73
Fe 0.5000 0.0000 0.0000  4 W 2.73, 4 Zn 2.73
Fe 0.5000 0.5000 0.5000  4 W 2.73, 4 Zn 2.73
W 0.2500 0.2500 0.7500  4 Hf 2.73, 4 Fe 2.73
W 0.2500 0.7500 0.2500  4 Hf 2.73, 4 Fe 2.73
W 0.7500 0.2500 0.2500  4 Hf 2.73, 4 Fe 2.73
W 0.7500 0.7500 0.7500  4 Hf 2.73, 4 Fe 2.73

Output
Its space-group type is F-43m, No. 216. As for the offset from the most stable computed form: 0.00 kJ/mol of atoms. Its formation energy is 1.252 eV per formula unit.



Entry 10:
# HoTm2In3

A geometry-optimized HoTm2In3 structure (PBE, the Open Quantum Materials Database).

Cell: 3.4803 3.4803 12.7079 Å, 90.00 90.00 90.00°
Last column: nearest neighbours and their distance in Å.
Fractional positions:
Ho 0.0000 0.0000 0.0000  8 In 3.26, 4 Ho 3.48
Tm 0.0000 0.0000 0.3343  8 In 3.24, 4 Tm 3.48
Tm 0.0000 0.0000 0.6657  8 In 3.24, 4 Tm 3.48
In 0.5000 0.5000 0.1684  4 Tm 3.24, 4 Ho 3.26, 4 In 3.48
In 0.5000 0.5000 0.5000  8 Tm 3.24, 4 In 3.48
In 0.5000 0.5000 0.8316  4 Tm 3.24, 4 Ho 3.26, 4 In 3.48

Output
The value obtained for the electronic total energy is -24.36 eV for the cell shown. Its space-group type is P4/mmm, No. 123.